#P
# PrCuAg

Crystalline PrCuAg at its relaxed geometry (PBE-GGA, OQMD).

abc: 6.9500 6.9500 6.9500
angles: 90.00 90.00 90.00
Space group F-43m (No. 216)
Asymmetric unit:
Pr1 0.0000 0.0000 0.0000 x4
Cu1 0.2500 0.2500 0.2500 x4
Ag1 0.2500 0.2500 0.7500 x4

---

#Q
# PrCuAg

Crystalline PrCuAg at its relaxed geometry (PBE-GGA, OQMD).

abc: 6.6210 6.6210 6.6210
angles: 90.00 90.00 90.00
Space group F-43m (No. 216)
Asymmetric unit:
Pr1 0.0000 0.0000 0.0000 x4
Cu1 0.2500 0.2500 0.7500 x4
Ag1 0.0000 0.0000 0.5000 x4

---

#R
# PrCuAg

Crystalline PrCuAg at its relaxed geometry (PBE-GGA, OQMD).

abc: 4.6499 7.8764 7.2267
angles: 90.00 90.00 90.00
Space group Ima2 (No. 46)
Asymmetric unit:
Pr1 0.2500 0.2134 0.0000 x4
Cu1 0.2500 0.5697 0.2079 x4
Ag1 0.2500 0.5973 0.7923 x4

---

#R (149 meV/atom below the next structure)

---

#P
# Cu6Ag6Sb4SeS12

Crystalline Cu6Ag6Sb4SeS12 at its relaxed geometry (PBE-GGA, OQMD).

abc: 10.7992 10.7992 10.7992
angles: 90.00 90.00 90.00
Space group I-43m (No. 217)
Asymmetric unit:
Cu1 0.0000 0.2500 0.5000 x12
Ag1 0.0000 0.0000 0.2416 x12
Sb1 0.2238 0.2238 0.2238 x8
Se1 0.0000 0.0000 0.0000 x2
S1 0.1207 0.3702 0.3702 x24

---

#Q
# Cu6Ag6Sb4SeS12

Crystalline Cu6Ag6Sb4SeS12 at its relaxed geometry (PBE-GGA, OQMD).

abc: 10.9438 10.9438 10.9438
angles: 90.00 90.00 90.00
Space group I-43m (No. 217)
Asymmetric unit:
Cu1 0.0000 0.0000 0.2215 x12
Ag1 0.0000 0.2500 0.5000 x12
Sb1 0.2415 0.2415 0.2415 x8
Se1 0.0000 0.0000 0.0000 x2
S1 0.1126 0.1126 0.6518 x24

---

#P (43 meV/atom below the next structure)

---

#P
# Cu6Ag6Sb4TeS12

Crystalline Cu6Ag6Sb4TeS12 at its relaxed geometry (PBE-GGA, OQMD).

abc: 11.0391 11.0391 11.0391
angles: 90.00 90.00 90.00
Space group I-43m (No. 217)
Asymmetric unit:
Cu1 0.0000 0.0000 0.2349 x12
Ag1 0.0000 0.2500 0.5000 x12
Sb1 0.2410 0.2410 0.2410 x8
Te1 0.0000 0.0000 0.0000 x2
S1 0.1151 0.1151 0.6489 x24

---

#Q
# Cu6Ag6Sb4TeS12

Crystalline Cu6Ag6Sb4TeS12 at its relaxed geometry (PBE-GGA, OQMD).

abc: 10.8725 10.8725 10.8725
angles: 90.00 90.00 90.00
Space group I-43m (No. 217)
Asymmetric unit:
Cu1 0.0000 0.2500 0.5000 x12
Ag1 0.0000 0.0000 0.2517 x12
Sb1 0.2243 0.2243 0.2243 x8
Te1 0.0000 0.0000 0.0000 x2
S1 0.1179 0.3691 0.3691 x24

---

#Q (39 meV/atom below the next structure)

---

#P
# ScCuAgSb

Crystalline ScCuAgSb at its relaxed geometry (PBE-GGA, OQMD).

abc: 6.7263 6.7263 6.7263
angles: 90.00 90.00 90.00
Space group F-43m (No. 216)
Asymmetric unit:
Sc1 0.0000 0.0000 0.0000 x4
Cu1 0.0000 0.0000 0.5000 x4
Ag1 0.2500 0.2500 0.7500 x4
Sb1 0.2500 0.2500 0.2500 x4

---

#Q
# ScCuAgSb

Crystalline ScCuAgSb at its relaxed geometry (PBE-GGA, OQMD).

abc: 6.7381 6.7381 6.7381
angles: 90.00 90.00 90.00
Space group F-43m (No. 216)
Asymmetric unit:
Sc1 0.0000 0.0000 0.0000 x4
Cu1 0.2500 0.2500 0.7500 x4
Ag1 0.2500 0.2500 0.2500 x4
Sb1 0.0000 0.0000 0.5000 x4

---

#P (39 meV/atom below the next structure)